First-principles (GGA-PBE) data for crystalline LaGeTe2I at its relaxed geometry, as listed in Alexandria.

Cell lengths 5.589, 5.589, 5.426 Å; angles 90.00, 90.00, 90.00 degrees
Sites, in units of the cell vectors:
1 La 0.000 0.000 0.000
2 Ge 0.500 0.500 0.500
3 Te 0.000 0.500 0.500
4 Te 0.500 0.000 0.500
5 I 0.500 0.500 0.000

Values from the calculation:
polymorph energy (0 for the lowest one): 0.0000 eV/atom
uncorrected formation energy: -2.12 eV per formula unit
spin magnetization: 0.19 μB/f.u.